Here is crystalline CsV4Ag3O12 at its relaxed geometry from the Alexandria database. Energies are from PBE with a Hubbard U.

- total magnetic moment (μB/atom) = 0.005
- VASP energy (eV/atom) = -6.063
- mass density (g cm⁻³) = 4.6
- crystal system = trigonal
- space-group type = R32

Unit cell a=7.5749 b=7.5749 c=7.5749 alpha=111.43 beta=111.43 gamma=111.43
With the nearest neighbours (Å) after each atom.
Sites, in units of the cell vectors:
Cs: 0.0000 0.0000 0.0000  6 O 3.20, 2 V 3.41
V: 0.0800 0.5000 0.9200  3 O 1.70-1.75
V: 0.5000 0.5000 0.5000  3 O 1.70
V: 0.5000 0.9200 0.0800  3 O 1.70-1.75
V: 0.9200 0.0800 0.5000  3 O 1.70-1.75
Ag: 0.0000 0.5774 0.4226  6 O 2.36-2.45
Ag: 0.4226 0.0000 0.5774  6 O 2.36-2.45
Ag: 0.5774 0.4226 0.0000  6 O 2.36-2.45
O: 0.0560 0.9440 0.5000  1 V 1.70
O: 0.1201 0.6470 0.7899  1 V 1.75
O: 0.2101 0.3530 0.8799  1 V 1.75
O: 0.3530 0.8799 0.2101  1 V 1.75
O: 0.3645 0.6355 0.5000  1 V 1.70
O: 0.5000 0.0560 0.9440  1 V 1.70
O: 0.5000 0.3645 0.6355  1 V 1.70
O: 0.6355 0.5000 0.3645  1 V 1.70
O: 0.6470 0.7899 0.1201  1 V 1.75
O: 0.7899 0.1201 0.6470  1 V 1.75
O: 0.8799 0.2101 0.3530  1 V 1.75
O: 0.9440 0.5000 0.0560  1 V 1.70